# PBE-GGA Y2AlGa9, optimized geometry
data_Y2AlGa9
_chemical_formula_sum 'Y2 Al1 Ga9'
_symmetry_space_group_name_H-M 'P 4/m m m'
_symmetry_Int_Tables_number 123
_symmetry_space_group_name_Hall '-P 4 2'
_cell_length_a 4.245
_cell_length_b 4.245
_cell_length_c 12.744
_cell_angle_alpha 90.00
_cell_angle_beta 90.00
_cell_angle_gamma 90.00
loop_
_atom_site_label
_atom_site_type_symbol
_atom_site_fract_x
_atom_site_fract_y
_atom_site_fract_z
_atom_site_occupancy
Y1 Y 0.000 0.000 0.168 1
Al1 Al 0.000 0.000 0.500 1
Ga1 Ga 0.000 0.500 0.000 1
Ga2 Ga 0.000 0.500 0.346 1
Ga3 Ga 0.500 0.500 0.164 1
Ga4 Ga 0.500 0.500 0.500 1
# DOS(E_F): 4.63 states/eV per cell
# formation energy from the elements: -0.3211 eV/atom
# theoretical density: 6.0 g/cm3
# VASP energy: -47.77 eV per cell
# V: 230 Å³/cell